[1]
CaTeP2 at its PBEsol-relaxed geometry. Source: the Alexandria database, functional SCAN.

formation energy (no corrections)	-37	meV/atom
symmetry	I4/mmm, No. 139
Fermi-level density of states	0.560	states/eV per atom

Lattice parameters (Å, degrees): 4.1165 4.1165 9.8120 90.00 90.00 90.00
Last column: nearest neighbours and their distance in Å.
Fractional coordinates of all 8 atoms:
Ca 0.0000 0.0000 0.0000  4 Te 2.91, 8 P 3.20
Ca 0.5000 0.5000 0.5000  4 Te 2.91, 8 P 3.20
Te 0.0000 0.0000 0.5000  4 Ca 2.91, 8 P 3.20
Te 0.5000 0.5000 0.0000  4 Ca 2.91, 8 P 3.20
P 0.0000 0.5000 0.2500  4 P 2.91, 4 Ca 3.20, 4 Te 3.20
P 0.0000 0.5000 0.7500  4 P 2.91, 4 Te 3.20, 4 Ca 3.20
P 0.5000 0.0000 0.2500  4 P 2.91, 4 Ca 3.20, 4 Te 3.20
P 0.5000 0.0000 0.7500  4 P 2.91, 4 Te 3.20, 4 Ca 3.20

***

[2]
CaTeP4 at its PBEsol-relaxed geometry. Source: the Alexandria database, functional SCAN.

formation energy (no corrections)	-117	meV/atom
symmetry	F-43m, No. 216

Lattice parameters (Å, degrees): 5.7412 5.7412 5.7412 60.00 60.00 60.00
Last column: nearest neighbours and their distance in Å.
Fractional coordinates of all 6 atoms:
Ca 0.0000 0.0000 0.0000  12 P 3.46, 4 Te 3.52
Te 0.7500 0.7500 0.7500  12 P 3.32, 4 Ca 3.52
P 0.4029 0.4029 0.4029  3 P 2.23
P 0.4029 0.4029 0.7913  3 P 2.23
P 0.4029 0.7913 0.4029  3 P 2.23
P 0.7913 0.4029 0.4029  3 P 2.23

***

[3]
CaTeP2 at its PBEsol-relaxed geometry. Source: the Alexandria database, functional SCAN.

formation energy (no corrections)	-158	meV/atom
symmetry	P4mm, No. 99
Fermi-level density of states	0.488	states/eV per atom

Lattice parameters (Å, degrees): 3.8677 3.8677 5.8687 90.00 90.00 90.00
Last column: nearest neighbours and their distance in Å.
Fractional coordinates of all 4 atoms:
Ca 0.0000 0.0000 0.0000  1 P 2.70, 4 Te 2.97
Te 0.5000 0.5000 0.8024  1 P 2.60
P 0.0000 0.0000 0.4607  1 Ca 2.70, 4 P 2.80
P 0.5000 0.5000 0.3596  1 Te 2.60, 4 P 2.80

***

[4]
Ca2TeP at its PBEsol-relaxed geometry. Source: the Alexandria database, functional SCAN.

formation energy (no corrections)	-1025	meV/atom
symmetry	I-4m2, No. 119
offset from the most stable computed form	92.3	meV per atom
Fermi-level density of states	0.461	states/eV per atom

Lattice parameters (Å, degrees): 4.2298 4.2298 11.1123 90.00 90.00 90.00
Last column: nearest neighbours and their distance in Å.
Fractional coordinates of all 8 atoms:
Ca 0.0000 0.0000 0.0000  4 P 2.99
Ca 0.0000 0.5000 0.2500  4 Te 2.99
Ca 0.5000 0.0000 0.7500  4 Te 2.99
Ca 0.5000 0.5000 0.5000  4 P 2.99
Te 0.0000 0.5000 0.7500  4 Ca 2.99
Te 0.5000 0.0000 0.2500  4 Ca 2.99
P 0.0000 0.0000 0.5000  4 Ca 2.99
P 0.5000 0.5000 0.0000  4 Ca 2.99

***

[5]
Ca2TeP at its PBEsol-relaxed geometry. Source: the Alexandria database, functional SCAN.

formation energy (no corrections)	-1079	meV/atom
symmetry	C2/m, No. 12
offset from the most stable computed form	38.1	meV per atom
Fermi-level density of states	0.275	states/eV per atom

Lattice parameters (Å, degrees): 6.7428 7.6421 3.8249 90.00 90.12 90.00
Last column: nearest neighbours and their distance in Å.
Fractional coordinates of all 8 atoms:
Ca 0.2500 0.2500 0.0000  4 Te 3.18-3.19, 4 P 3.18-3.19, 2 Ca 3.37
Ca 0.2500 0.7500 0.0000  4 Te 3.18-3.19, 4 P 3.18-3.19, 2 Ca 3.37
Ca 0.7500 0.2500 0.0000  4 Te 3.18-3.19, 4 P 3.18-3.19, 2 Ca 3.37
Ca 0.7500 0.7500 0.0000  4 Te 3.18-3.19, 4 P 3.18-3.19, 2 Ca 3.37
Te 0.0000 0.0000 0.5000  8 Ca 3.18-3.19, 2 P 3.37
Te 0.5000 0.5000 0.5000  8 Ca 3.18-3.19, 2 P 3.37
P 0.0000 0.5000 0.5000  8 Ca 3.18-3.19, 2 Te 3.37
P 0.5000 0.0000 0.5000  8 Ca 3.18-3.19, 2 Te 3.37

***

[6]
Ca2TeP at its PBEsol-relaxed geometry. Source: the Alexandria database, functional SCAN.

formation energy (no corrections)	-1117	meV/atom
symmetry	I-42d, No. 122
offset from the most stable computed form	0.0	meV per atom
Fermi-level density of states	0.212	states/eV per atom

Lattice parameters (Å, degrees): 7.8861 7.8861 6.9660 90.00 90.00 90.00
Last column: nearest neighbours and their distance in Å.
Fractional coordinates of all 16 atoms:
Ca 0.2151 0.7500 0.1250  2 P 2.74
Ca 0.2500 0.2151 0.8750  2 P 2.74
Ca 0.2500 0.2849 0.3750  2 P 2.74
Ca 0.2849 0.7500 0.6250  2 P 2.74
Ca 0.7151 0.2500 0.6250  2 P 2.74
Ca 0.7500 0.7151 0.3750  2 P 2.74
Ca 0.7500 0.7849 0.8750  2 P 2.74
Ca 0.7849 0.2500 0.1250  2 P 2.74
Te 0.0000 0.0000 0.5000  4 Ca 3.11, 2 P 3.48
Te 0.0000 0.5000 0.7500  4 Ca 3.11, 2 P 3.48
Te 0.5000 0.0000 0.2500  4 Ca 3.11, 2 P 3.48
Te 0.5000 0.5000 0.0000  4 Ca 3.11, 2 P 3.48
P 0.0000 0.0000 0.0000  4 Ca 2.74
P 0.0000 0.5000 0.2500  4 Ca 2.74
P 0.5000 0.0000 0.7500  4 Ca 2.74
P 0.5000 0.5000 0.5000  4 Ca 2.74

***

[7]
CaTlP2 at its PBEsol-relaxed geometry. Source: the Alexandria database, functional SCAN.

symmetry	P4/mmm, No. 123
energy of formation from the pure elements	-0.33	eV/f.u.
offset from the most stable computed form	406.2	meV per atom
Fermi-level density of states	0.442	states/eV per atom

Lattice parameters (Å, degrees): 3.1456 3.1456 8.6753 90.00 90.00 90.00
Last column: nearest neighbours and their distance in Å.
Fractional coordinates of all 4 atoms:
Ca 0.0000 0.0000 0.0000  8 P 2.97, 4 Ca 3.15
Tl 0.0000 0.0000 0.5000  4 Tl 3.15, 8 P 3.25
P 0.5000 0.5000 0.2274  4 Ca 2.97, 4 P 3.15, 4 Tl 3.25
P 0.5000 0.5000 0.7726  4 Ca 2.97, 4 P 3.15, 4 Tl 3.25

***

[8]
CaTlP2 at its PBEsol-relaxed geometry. Source: the Alexandria database, functional SCAN.

symmetry	P4/mmm, No. 123
energy of formation from the pure elements	-1.95	eV/f.u.
offset from the most stable computed form	0.0	meV per atom
Fermi-level density of states	0.298	states/eV per atom

Lattice parameters (Å, degrees): 3.8381 3.8381 6.2624 90.00 90.00 90.00
Last column: nearest neighbours and their distance in Å.
Fractional coordinates of all 4 atoms:
Ca 0.0000 0.0000 0.0000  8 P 2.92, 2 Tl 3.13
Tl 0.0000 0.0000 0.5000  2 Ca 3.13, 8 P 3.40
P 0.5000 0.5000 0.1736  1 P 2.17
P 0.5000 0.5000 0.8264  1 P 2.17

***

[9]
CaTlP2 at its PBEsol-relaxed geometry. Source: the Alexandria database, functional SCAN.

symmetry	I4/mmm, No. 139
energy of formation from the pure elements	-0.55	eV/f.u.
offset from the most stable computed form	350.8	meV per atom
Fermi-level density of states	0.368	states/eV per atom

Lattice parameters (Å, degrees): 4.3717 4.3717 8.5918 90.00 90.00 90.00
Last column: nearest neighbours and their distance in Å.
Fractional coordinates of all 8 atoms:
Ca 0.0000 0.0000 0.0000  8 P 3.06, 4 Tl 3.09
Ca 0.5000 0.5000 0.5000  8 P 3.06, 4 Tl 3.09
Tl 0.0000 0.0000 0.5000  8 P 3.06, 4 Ca 3.09
Tl 0.5000 0.5000 0.0000  8 P 3.06, 4 Ca 3.09
P 0.0000 0.5000 0.2500  4 Tl 3.06, 4 Ca 3.06, 4 P 3.09
P 0.0000 0.5000 0.7500  4 Tl 3.06, 4 Ca 3.06, 4 P 3.09
P 0.5000 0.0000 0.2500  4 Tl 3.06, 4 Ca 3.06, 4 P 3.09
P 0.5000 0.0000 0.7500  4 Tl 3.06, 4 Ca 3.06, 4 P 3.09

***

[10]
Ca2PW at its PBEsol-relaxed geometry. Source: the Alexandria database, functional SCAN.

symmetry	I-4m2, No. 119
energy of formation from the pure elements	2.57	eV/f.u.
offset from the most stable computed form	47.8	meV per atom
Fermi-level density of states	0.855	states/eV per atom

Lattice parameters (Å, degrees): 4.2643 4.2643 8.5848 90.00 90.00 90.00
Last column: nearest neighbours and their distance in Å.
Fractional coordinates of all 8 atoms:
Ca 0.0000 0.0000 0.0000  4 P 3.02, 4 W 3.03, 4 Ca 3.03
Ca 0.0000 0.5000 0.2500  4 W 3.02, 4 Ca 3.03, 4 P 3.03
Ca 0.5000 0.0000 0.7500  4 W 3.02, 4 Ca 3.03, 4 P 3.03
Ca 0.5000 0.5000 0.5000  4 P 3.02, 4 W 3.03, 4 Ca 3.03
P 0.0000 0.0000 0.5000  8 Ca 3.02-3.03, 4 W 3.03
P 0.5000 0.5000 0.0000  8 Ca 3.02-3.03, 4 W 3.03
W 0.0000 0.5000 0.7500  8 Ca 3.02-3.03, 4 P 3.03
W 0.5000 0.0000 0.2500  8 Ca 3.02-3.03, 4 P 3.03

***

[11]
Ca2PW at its PBEsol-relaxed geometry. Source: the Alexandria database, functional SCAN.

symmetry	I4/mmm, No. 139
energy of formation from the pure elements	2.37	eV/f.u.
offset from the most stable computed form	0.0	meV per atom
Fermi-level density of states	0.894	states/eV per atom

Lattice parameters (Å, degrees): 4.0003 4.0003 9.2856 90.00 90.00 90.00
Last column: nearest neighbours and their distance in Å.
Fractional coordinates of all 8 atoms:
Ca 0.0000 0.5000 0.2500  4 Ca 2.83, 4 W 3.06, 4 P 3.06
Ca 0.0000 0.5000 0.7500  4 Ca 2.83, 4 W 3.06, 4 P 3.06
Ca 0.5000 0.0000 0.2500  4 Ca 2.83, 4 W 3.06, 4 P 3.06
Ca 0.5000 0.0000 0.7500  4 Ca 2.83, 4 W 3.06, 4 P 3.06
P 0.0000 0.0000 0.0000  4 W 2.83, 8 Ca 3.06
P 0.5000 0.5000 0.5000  4 W 2.83, 8 Ca 3.06
W 0.0000 0.0000 0.5000  4 P 2.83, 8 Ca 3.06
W 0.5000 0.5000 0.0000  4 P 2.83, 8 Ca 3.06

***

[12]
Ca3PW at its PBEsol-relaxed geometry. Source: the Alexandria database, functional SCAN.

symmetry	Pm-3m, No. 221
energy of formation from the pure elements	2.43	eV/f.u.
offset from the most stable computed form	0.0	meV per atom
Fermi-level density of states	0.686	states/eV per atom

Lattice parameters (Å, degrees): 5.3682 5.3682 5.3682 90.00 90.00 90.00
Last column: nearest neighbours and their distance in Å.
Fractional coordinates of all 5 atoms:
Ca 0.0000 0.0000 0.5000  2 P 2.68
Ca 0.0000 0.5000 0.0000  2 P 2.68
Ca 0.5000 0.0000 0.0000  2 P 2.68
P 0.0000 0.0000 0.0000  6 Ca 2.68
W 0.5000 0.5000 0.5000  12 Ca 3.80

***

Number 1: VASP energy -16.965 eV per atom. Number 2: VASP energy -14.869 eV per atom. Number 3: VASP energy -17.086 eV per atom. Number 4: VASP energy -17.769 eV per atom. Number 5: VASP energy -17.823 eV per atom. Number 6: VASP energy -17.861 eV per atom. Number 7: VASP energy -25.787 eV per atom. Number 8: VASP energy -26.193 eV per atom. Number 9: VASP energy -25.842 eV per atom. Number 10: VASP energy -24.212 eV per atom. Number 11: VASP energy -24.260 eV per atom. Number 12: VASP energy -21.330 eV per atom.